[1]
Crystalline NbRe2Tc2 at its relaxed geometry. Source: the Alexandria database, functional PBE-GGA.

Geometry as POSCAR:
```
NbRe2Tc2
1.0
7.5863 0.0000 0.0000
0.0000 7.5863 0.0000
0.0000 0.0000 2.7867
Nb Re Tc
2 4 4
direct
0.0000 0.0000 0.0000
0.5000 0.5000 0.0000
0.1257 0.3743 0.0000
0.3743 0.8743 0.0000
0.6257 0.1257 0.0000
0.8743 0.6257 0.0000
0.1711 0.6711 0.5000
0.3289 0.1711 0.5000
0.6711 0.8289 0.5000
0.8289 0.3289 0.5000
```

Fermi-level density of states = 0.846 states/eV/atom
distance to the lowest polymorph of the same formula = 0.000 eV/atom
SG = P4/mbm (127)
E = -110.126 eV/cell
calculated formation energy = 0.13 eV/atom
total magnetization = 0.00 μB/f.u.



[2]
Crystalline Ge3F at its relaxed geometry. Source: the Alexandria database, functional PBE-GGA.

Geometry as POSCAR:
```
Ge3F
1.0
0.0000 3.2052 3.2052
3.2052 0.0000 3.2052
3.2052 3.2052 0.0000
Ge F
3 1
direct
0.0000 0.0000 0.0000
0.2500 0.2500 0.2500
0.7500 0.7500 0.7500
0.5000 0.5000 0.5000
```

Fermi-level density of states = 0.400 states/eV/atom
SG = Fm-3m (225)
E = -17.166 eV/cell
uncorrected formation energy = -0.3606 eV per atom
total magnetization = 0.00 μB/f.u.



[3]
Crystalline K2CdGa3Au12 at its relaxed geometry. Source: the Alexandria database, functional PBE-GGA.

Geometry as POSCAR:
```
K2CdGa3Au12
1.0
4.5661 2.6362 6.4880
-4.5661 2.6362 6.4880
0.0000 -5.2725 6.4880
K Cd Ga Au
2 1 3 12
direct
0.0941 0.0941 0.0941
0.9059 0.9059 0.9059
0.5000 0.5000 0.5000
0.0000 0.5000 0.5000
0.5000 0.0000 0.5000
0.5000 0.5000 0.0000
0.1373 0.6350 0.6350
0.1597 0.1597 0.5038
0.1597 0.5038 0.1597
0.3650 0.3650 0.8627
0.3650 0.8627 0.3650
0.4962 0.8403 0.8403
0.5038 0.1597 0.1597
0.6350 0.1373 0.6350
0.6350 0.6350 0.1373
0.8403 0.4962 0.8403
0.8403 0.8403 0.4962
0.8627 0.3650 0.3650
```

Fermi-level density of states = 0.397 states/eV/atom
SG = R-3m (166)
E = -52.011 eV/cell
calculated formation energy = -0.03 eV/atom
total magnetization = 0.00 μB/f.u.



[4]
Crystalline ZnCdSe2Br at its relaxed geometry. Source: the Alexandria database, functional PBE-GGA.

Geometry as POSCAR:
```
ZnCdSe2Br
1.0
5.2959 0.0000 0.0000
0.0000 5.2959 0.0000
0.0000 0.0000 5.3931
Zn Cd Se Br
1 1 2 1
direct
0.0000 0.0000 0.0000
0.5000 0.5000 0.5000
0.0000 0.5000 0.5000
0.5000 0.0000 0.5000
0.5000 0.5000 0.0000
```

Fermi-level density of states = 1.322 states/eV/atom
distance to the lowest polymorph of the same formula = 0.285 eV/atom
SG = P4/mmm (123)
E = -8.898 eV/cell
uncorrected formation energy = 0.3867 eV per atom
total magnetization = 0.00 μB/f.u.